## P
# MgMnI2

A geometry-optimized MgMnI2 structure (PBE, the Alexandria database).

**Spin magnetization**: 19.5 μB/cell
**DOS at the Fermi energy**: 0.43 states/eV/atom

Structure (CIF):
```
data_MgMnI2
_cell_length_a 8.7578
_cell_length_b 8.7578
_cell_length_c 7.2724
_cell_angle_alpha 90.00
_cell_angle_beta 90.00
_cell_angle_gamma 90.00
_space_group_name_H-M_alt 'I -4 2 d'
_space_group_IT_number 122
_space_group_name_Hall 'I -4 2bw'
loop_
_atom_site_label
_atom_site_fract_x
_atom_site_fract_y
_atom_site_fract_z
Mg1 0.0000 0.0000 0.0000
Mn1 0.0000 0.0000 0.5000
I1 0.1632 0.7500 0.6250
```



## Q
# MgMnI2

A geometry-optimized MgMnI2 structure (PBE, the Alexandria database).

**Spin magnetization**: 19.0 μB/cell
**DOS at the Fermi energy**: 0.68 states/eV/atom

Structure (CIF):
```
data_MgMnI2
_cell_length_a 7.5685
_cell_length_b 7.5685
_cell_length_c 7.5685
_cell_angle_alpha 90.00
_cell_angle_beta 90.00
_cell_angle_gamma 90.00
_space_group_name_H-M_alt 'F m -3 m'
_space_group_IT_number 225
_space_group_name_Hall '-F 4 2 3'
loop_
_atom_site_label
_atom_site_fract_x
_atom_site_fract_y
_atom_site_fract_z
Mg1 0.0000 0.0000 0.0000
Mn1 0.0000 0.0000 0.5000
I1 0.2500 0.2500 0.2500
```



Compare the structures above. Which one is the least stable? Q is.